# 1
Material: TbPm6Er8
Method: DFT, PBE-GGA
State: relaxed

a = 8.6665 Å, b = 8.6665 Å, c = 8.6665 Å
α = 62.95°, β = 62.95°, γ = 62.95°
Element x y z (fractional)
Tb (0.0000, 0.0000, 0.0000)
Pm (0.1051, 0.2259, 0.5383)
Pm (0.2259, 0.5383, 0.1051)
Pm (0.4617, 0.8949, 0.7741)
Pm (0.5383, 0.1051, 0.2259)
Pm (0.7741, 0.4617, 0.8949)
Pm (0.8949, 0.7741, 0.4617)
Er (0.1115, 0.7473, 0.7180)
Er (0.2527, 0.2820, 0.8885)
Er (0.2820, 0.8885, 0.2527)
Er (0.4234, 0.4234, 0.4234)
Er (0.5766, 0.5766, 0.5766)
Er (0.7180, 0.1115, 0.7473)
Er (0.7473, 0.7180, 0.1115)
Er (0.8885, 0.2527, 0.2820)

Symmetry: R-3

***

# 2
Material: VSe2Br
Method: DFT, PBE-GGA
State: relaxed

a = 6.7885 Å, b = 6.7885 Å, c = 6.7885 Å
α = 90.00°, β = 90.00°, γ = 90.00°
Element x y z (fractional)
V (0.0000, 0.0000, 0.0000)
V (0.0000, 0.5000, 0.5000)
V (0.5000, 0.0000, 0.5000)
V (0.5000, 0.5000, 0.0000)
Se (0.2500, 0.2500, 0.2500)
Se (0.2500, 0.2500, 0.7500)
Se (0.2500, 0.7500, 0.2500)
Se (0.2500, 0.7500, 0.7500)
Se (0.7500, 0.2500, 0.2500)
Se (0.7500, 0.2500, 0.7500)
Se (0.7500, 0.7500, 0.2500)
Se (0.7500, 0.7500, 0.7500)
Br (0.0000, 0.0000, 0.5000)
Br (0.0000, 0.5000, 0.0000)
Br (0.5000, 0.0000, 0.0000)
Br (0.5000, 0.5000, 0.5000)

Symmetry: Fm-3m
Relative energy among the computed polymorphs, eV/atom: 0.847
Raw formation energy, meV/atom: 425

***

# 3
Material: PmCu2B2O6
Method: DFT, PBE-GGA
State: relaxed

a = 5.1619 Å, b = 5.1619 Å, c = 6.2449 Å
α = 90.00°, β = 90.00°, γ = 120.00°
Element x y z (fractional)
Pm (0.0000, 0.0000, 0.0000)
Cu (0.3333, 0.6667, 0.2700)
Cu (0.6667, 0.3333, 0.7300)
B (0.3333, 0.6667, 0.7651)
B (0.6667, 0.3333, 0.2349)
O (0.0678, 0.6719, 0.7703)
O (0.3281, 0.3959, 0.7703)
O (0.3959, 0.0678, 0.2297)
O (0.6041, 0.9322, 0.7703)
O (0.6719, 0.6041, 0.2297)
O (0.9322, 0.3281, 0.2297)

Symmetry: P-3
Raw formation energy, meV/atom: -1976

***

Number 1: final energy -4.52 eV per atom. Number 2: final energy -4.01 eV per atom. Number 3: final energy -7.07 eV per atom.